[1]
## LaSm2TiN4 (PBE-GGA)

Data for a geometry-optimized LaSm2TiN4 structure.

Structure (POSCAR):
```
LaSm2TiN4
1.0
1.749 -6.041 0.000
1.749 6.041 0.000
0.000 0.000 12.183
La Sm Ti N
2 4 2 8
Direct
0.097 0.903 0.750 La
0.903 0.097 0.250 La
0.370 0.630 0.540 Sm
0.370 0.630 0.960 Sm
0.630 0.370 0.040 Sm
0.630 0.370 0.460 Sm
0.168 0.832 0.250 Ti
0.832 0.168 0.750 Ti
0.000 0.000 0.000 N
0.000 0.000 0.500 N
0.265 0.735 0.129 N
0.265 0.735 0.371 N
0.424 0.576 0.750 N
0.576 0.424 0.250 N
0.735 0.265 0.629 N
0.735 0.265 0.871 N
```

Symmetry   Cmcm, No. 63
Crystal system   orthorhombic
Formation energy (no corrections)   -1.384 eV per atom

[2]
## Ga2Ni2Mo (PBE-GGA)

Data for a geometry-optimized Ga2Ni2Mo structure.

Structure (POSCAR):
```
Ga2Ni2Mo
1.0
7.092 0.000 0.000
0.000 7.092 0.000
0.000 0.000 2.628
Ga Ni Mo
4 4 2
Direct
0.171 0.329 0.000 Ga
0.329 0.829 0.000 Ga
0.671 0.171 0.000 Ga
0.829 0.671 0.000 Ga
0.126 0.626 0.500 Ni
0.374 0.126 0.500 Ni
0.626 0.874 0.500 Ni
0.874 0.374 0.500 Ni
0.000 0.000 0.500 Mo
0.500 0.500 0.500 Mo
```

Symmetry   P4/mbm, No. 127
Energy of formation from the pure elements   -0.144 eV/atom
ΔE to the lowest computed polymorph   31 meV per atom
Crystal system   tetragonal

[3]
## Zr2TaB2Os5 (PBE-GGA)

Data for a geometry-optimized Zr2TaB2Os5 structure.

Structure (POSCAR):
```
Zr2TaB2Os5
1.0
9.598 0.000 0.000
0.000 9.598 0.000
0.000 0.000 3.113
Zr Ta B Os
4 2 4 10
Direct
0.177 0.323 0.000 Zr
0.323 0.823 0.000 Zr
0.677 0.177 0.000 Zr
0.823 0.677 0.000 Zr
0.000 0.000 0.000 Ta
0.500 0.500 0.000 Ta
0.121 0.621 0.000 B
0.379 0.121 0.000 B
0.621 0.879 0.000 B
0.879 0.379 0.000 B
0.000 0.500 0.500 Os
0.069 0.781 0.500 Os
0.219 0.069 0.500 Os
0.281 0.569 0.500 Os
0.431 0.281 0.500 Os
0.500 0.000 0.500 Os
0.569 0.719 0.500 Os
0.719 0.431 0.500 Os
0.781 0.931 0.500 Os
0.931 0.219 0.500 Os
```

Symmetry   P4/mbm, No. 127
Energy of formation from the pure elements   -0.542 eV/atom
Crystal system   tetragonal

[4]
## Mg2Zn6Pd3 (PBE-GGA)

Data for a geometry-optimized Mg2Zn6Pd3 structure.

Structure (POSCAR):
```
Mg2Zn6Pd3
1.0
4.805 0.000 0.000
0.959 4.888 0.000
1.018 0.301 7.164
Mg Zn Pd
2 6 3
Direct
0.050 0.414 0.304 Mg
0.950 0.586 0.696 Mg
0.244 0.037 0.595 Zn
0.308 0.863 0.235 Zn
0.380 0.683 0.881 Zn
0.620 0.317 0.119 Zn
0.692 0.137 0.765 Zn
0.756 0.963 0.405 Zn
0.174 0.211 0.952 Pd
0.500 0.500 0.500 Pd
0.826 0.789 0.048 Pd
```

Symmetry   P-1, No. 2
Energy of formation from the pure elements   -0.394 eV/atom
Crystal system   triclinic

[5]
## SrRe3Rh (PBE-GGA)

Data for a geometry-optimized SrRe3Rh structure.

Structure (POSCAR):
```
SrRe3Rh
1.0
4.679 0.000 0.000
0.000 4.679 0.000
0.000 0.000 4.679
Sr Re Rh
1 3 1
Direct
0.000 0.000 0.000 Sr
0.000 0.000 0.500 Re
0.000 0.500 0.000 Re
0.500 0.000 0.000 Re
0.500 0.500 0.500 Rh
```

Symmetry   Pm-3m, No. 221
Energy of formation from the pure elements   3.802 eV/atom
ΔE to the lowest computed polymorph   1977 meV per atom
Crystal system   cubic

[6]
## CsHg2Se (PBE-GGA)

Data for a geometry-optimized CsHg2Se structure.

Structure (POSCAR):
```
CsHg2Se
1.0
-4.672 4.672 3.585
4.672 -4.672 3.585
4.672 4.672 -3.585
Cs Hg Se
2 4 2
Direct
0.000 0.000 0.000 Cs
0.750 0.250 0.500 Cs
0.208 0.125 0.583 Hg
0.375 0.792 0.917 Hg
0.542 0.625 0.417 Hg
0.875 0.458 0.083 Hg
0.250 0.750 0.500 Se
0.500 0.500 0.000 Se
```

Symmetry   I-42d, No. 122
Crystal system   tetragonal
Formation energy (no corrections)   -0.315 eV per atom

[7]
## Pr2HoSb2 (PBE-GGA)

Data for a geometry-optimized Pr2HoSb2 structure.

Structure (POSCAR):
```
Pr2HoSb2
1.0
-4.292 6.036 3.207
4.292 -6.036 3.207
4.292 6.036 -3.207
Pr Ho Sb
4 2 4
Direct
0.151 0.143 0.294 Pr
0.349 0.643 0.992 Pr
0.651 0.357 0.008 Pr
0.849 0.857 0.706 Pr
0.250 0.750 0.500 Ho
0.750 0.250 0.500 Ho
0.107 0.774 0.881 Sb
0.393 0.274 0.667 Sb
0.607 0.726 0.333 Sb
0.893 0.226 0.119 Sb
```

Symmetry   Ibam, No. 72
Crystal system   orthorhombic
Formation energy (no corrections)   -0.854 eV per atom

[8]
## ScNb3Ru4 (PBE-GGA)

Data for a geometry-optimized ScNb3Ru4 structure.

Structure (POSCAR):
```
ScNb3Ru4
1.0
3.122 0.000 0.000
0.000 4.560 0.000
0.000 0.000 9.081
Sc Nb Ru
1 3 4
Direct
0.000 0.000 0.000 Sc
0.000 0.000 0.500 Nb
0.000 0.500 0.249 Nb
0.000 0.500 0.751 Nb
0.500 0.000 0.254 Ru
0.500 0.000 0.746 Ru
0.500 0.500 0.000 Ru
0.500 0.500 0.500 Ru
```

Symmetry   Pmmm, No. 47
Energy of formation from the pure elements   -0.354 eV/atom
Crystal system   orthorhombic

M_tot, record by record: 0.00; 0.00; 0.00; 0.00; 0.00; 0.00; 0.01; 0.00 μB per formula unit